# TmTlCuCl5 (GGA-PBE, relaxed)
data_TmTlCuCl5
_chemical_formula_sum 'Tm4 Tl4 Cu4 Cl20'
_symmetry_space_group_name_H-M 'C 1 2/c 1'
_symmetry_Int_Tables_number 15
_cell_length_a 8.759
_cell_length_b 11.798
_cell_length_c 9.898
_cell_angle_alpha 90.00
_cell_angle_beta 113.26
_cell_angle_gamma 90.00
loop_
_symmetry_equiv_pos_as_xyz
'x,y,z'
'-x,-y,-z'
'-x,y,-z+1/2'
'x,-y,z+1/2'
'x+1/2,y+1/2,z'
'-x+1/2,-y+1/2,-z'
'-x+1/2,y+1/2,-z+1/2'
'x+1/2,-y+1/2,z+1/2'
loop_
_atom_site_label
_atom_site_fract_x
_atom_site_fract_y
_atom_site_fract_z
Tm1 0.000 0.000 0.000
Tl1 0.000 0.349 0.250
Cu1 0.000 0.308 0.750
Cl1 0.000 0.073 0.250
Cl2 0.103 0.202 0.607
Cl3 0.193 0.433 0.923
# Formation energy (no corrections)   -11.99 eV/f.u.

# BaLiGaNi2 (GGA-PBE, relaxed)
data_BaLiGaNi2
_chemical_formula_sum 'Ba1 Li1 Ga1 Ni2'
_symmetry_space_group_name_H-M 'P 4/m m m'
_symmetry_Int_Tables_number 123
_symmetry_space_group_name_Hall '-P 4 2'
_cell_length_a 4.642
_cell_length_b 4.642
_cell_length_c 5.844
_cell_angle_alpha 90.00
_cell_angle_beta 90.00
_cell_angle_gamma 90.00
loop_
_atom_site_label
_atom_site_fract_x
_atom_site_fract_y
_atom_site_fract_z
Ba1 0.000 0.000 0.000
Li1 0.500 0.500 0.000
Ga1 0.000 0.000 0.500
Ni1 0.000 0.500 0.500
# DFT formation energy   0.51 eV/atom

# Ac12Sn5Ir2 (GGA-PBE, relaxed)
data_Ac12Sn5Ir2
_chemical_formula_sum 'Ac24 Sn10 Ir4'
_symmetry_space_group_name_H-M 'C 1 2/m 1'
_symmetry_Int_Tables_number 12
_cell_length_a 18.848
_cell_length_b 8.444
_cell_length_c 10.519
_cell_angle_alpha 90.00
_cell_angle_beta 106.29
_cell_angle_gamma 90.00
loop_
_symmetry_equiv_pos_as_xyz
'x,y,z'
'-x,-y,-z'
'-x,y,-z'
'x,-y,z'
'x+1/2,y+1/2,z'
'-x+1/2,-y+1/2,-z'
'-x+1/2,y+1/2,-z'
'x+1/2,-y+1/2,z'
loop_
_atom_site_label
_atom_site_fract_x
_atom_site_fract_y
_atom_site_fract_z
Ac1 0.003 0.000 0.218
Ac2 0.006 0.500 0.821
Ac3 0.147 0.251 0.570
Ac4 0.163 0.240 0.086
Sn1 0.000 0.500 0.500
Sn2 0.188 0.000 0.834
Sn3 0.201 0.000 0.363
Ir1 0.000 0.232 0.000
# DFT formation energy   -0.47 eV/atom